## Cs2VGaO4 (GGA+U)

Data for a relaxed structure of Cs2VGaO4.

The structure in POSCAR format:
```
Cs2VGaO4
1.0
0.0000 6.4556 10.5542
3.0204 0.0000 10.5542
3.0204 6.4556 0.0000
Cs V Ga O
4 2 2 8
Direct
0.0524 0.0524 0.6976
0.3024 0.3024 0.9476
0.6976 0.6976 0.0524
0.9476 0.9476 0.3024
0.1250 0.1250 0.1250
0.8750 0.8750 0.8750
0.3750 0.3750 0.3750
0.6250 0.6250 0.6250
0.0724 0.2706 0.3309
0.1739 0.6691 0.7294
0.2706 0.0724 0.8261
0.3309 0.8261 0.0724
0.6691 0.1739 0.9276
0.7294 0.9276 0.1739
0.8261 0.3309 0.2706
0.9276 0.7294 0.6691
```

Calculated values
Total energy: -0.2081 hartree per atom